Record 1
DFT (PBE) results for an optimized crystal structure of CrRe2.

Size of the total moment ... 4.860 Bohr magnetons per cell
Symmetry ... Fd-3m
ΔH_f (0 K) ... 45.5 kJ/mol of atoms
Volume ... 15.97 Å³/atom

abc: 5.137 5.137 5.137
angles: 60.00 60.00 60.00
Fractional coordinates of all 6 atoms:
Cr1 0.125 0.125 0.125
Cr2 0.875 0.875 0.875
Re1 0.000 0.500 0.500
Re2 0.500 0.000 0.500
Re3 0.500 0.500 0.000
Re4 0.500 0.500 0.500



Record 2
DFT (PBE) results for an optimized crystal structure of Cr2Re.

Size of the total moment ... 0.000 Bohr magnetons per cell
Symmetry ... Fmmm
ΔH_f (0 K) ... 8.8 kJ/mol of atoms
Volume ... 12.98 Å³/atom

abc: 2.962 4.269 12.317
angles: 90.00 90.00 90.00
Fractional coordinates of all 12 atoms:
Cr1 0.000 0.000 0.173
Cr2 0.000 0.000 0.827
Cr3 0.000 0.500 0.327
Cr4 0.000 0.500 0.673
Cr5 0.500 0.000 0.327
Cr6 0.500 0.000 0.673
Cr7 0.500 0.500 0.173
Cr8 0.500 0.500 0.827
Re1 0.000 0.000 0.500
Re2 0.000 0.500 0.000
Re3 0.500 0.000 0.000
Re4 0.500 0.500 0.500



Record 3
DFT (PBE) results for an optimized crystal structure of CrRe.

Size of the total moment ... 0.000 Bohr magnetons per cell
Symmetry ... Pmmn
ΔH_f (0 K) ... 20.0 kJ/mol of atoms
Volume ... 13.61 Å³/atom

abc: 2.703 3.788 5.319
angles: 90.00 90.00 90.00
Fractional coordinates of all 4 atoms:
Cr1 0.250 0.250 0.120
Cr2 0.750 0.750 0.880
Re1 0.250 0.250 0.637
Re2 0.750 0.750 0.363



Which of these has the lowest volume? Cr2Re



Please write out number 1 again, unchanged.
DFT (PBE) results for an optimized crystal structure of CrRe2.

Size of the total moment ... 4.860 Bohr magnetons per cell
Symmetry ... Fd-3m
ΔH_f (0 K) ... 45.5 kJ/mol of atoms
Volume ... 15.97 Å³/atom

abc: 5.137 5.137 5.137
angles: 60.00 60.00 60.00
Fractional coordinates of all 6 atoms:
Cr1 0.125 0.125 0.125
Cr2 0.875 0.875 0.875
Re1 0.000 0.500 0.500
Re2 0.500 0.000 0.500
Re3 0.500 0.500 0.000
Re4 0.500 0.500 0.500



Which of these has the highest volume? CrRe2



Which of these has the lowest volume? Cr2Re